1.
The following is a DFT calculation (PBE) of an optimized crystal structure of La4Ge2N.

The structure belongs to space group P2_1/m (No. 11); the cell edges are 7.0851, 6.8885 and 8.8187 Å and the angles 90.00°, 108.31° and 90.00°. Symmetry generates all atoms from La at (0.0123, 0.0009, 0.2459), La at (0.4236, 0.2500, 0.5818), La at (0.4365, 0.2500, 0.1325), Ge at (0.2188, 0.7500, 0.5543), Ge at (0.2511, 0.7500, 0.0623) and N at (0.2450, 0.2500, 0.3099).

As for the formation energy without anion corrections: -6.3 eV/f.u. The calculation puts the energy relative to the lowest polymorph listed for this composition at 1 meV per atom.

=====

2.
The following is a DFT calculation (PBE) of an optimized crystal structure of LaGeN3.

The structure belongs to space group Pm-3m (No. 221); the cell edges are 4.3249, 4.3249 and 4.3249 Å and the angles 90.00°, 90.00° and 90.00°. Symmetry generates all atoms from La at (0.0000, 0.0000, 0.0000), Ge at (0.5000, 0.5000, 0.5000) and N at (0.0000, 0.0000, 0.5000).

As for the formation energy without anion corrections: 7.3 eV/f.u.

=====

3.
The following is a DFT calculation (PBE) of an optimized crystal structure of La12Ge5N2.

The structure belongs to space group C2/m (No. 12); the cell edges are 17.3373, 7.5954 and 9.2967 Å and the angles 90.00°, 105.69° and 90.00°. Symmetry generates all atoms from La at (0.0022, 0.0000, 0.1958), La at (0.0048, 0.5000, 0.8257), La at (0.1507, 0.2585, 0.5733), La at (0.1541, 0.2559, 0.0783), Ge at (0.0000, 0.5000, 0.5000), Ge at (0.1829, 0.0000, 0.8384), Ge at (0.1925, 0.0000, 0.3487) and N at (0.0000, 0.2355, 0.0000).

As for the formation energy without anion corrections: -13.3 eV/f.u.

=====

4.
The following is a DFT calculation (PBE) of an optimized crystal structure of La2GeN.

The structure belongs to space group R-3m (No. 166, hexagonal axes); the cell edges are 3.8103, 3.8103 and 22.5753 Å and the angles 90.00°, 90.00° and 120.00°. Symmetry generates all atoms from La at (0.0000, 0.0000, 0.2317), Ge at (0.0000, 0.0000, 0.0000) and N at (0.0000, 0.0000, 0.5000).

As for the formation energy without anion corrections: -3.7 eV/f.u.

=====

5.
The following is a DFT calculation (PBE) of an optimized crystal structure of La7Ge2N2.

The structure belongs to space group C2/m (No. 12); the cell edges are 11.7045, 7.4881 and 6.5688 Å and the angles 90.00°, 94.81° and 90.00°. Symmetry generates all atoms from La at (0.0000, 0.0000, 0.0000), La at (0.0609, 0.5000, 0.7841), La at (0.2255, 0.2811, 0.2424), Ge at (0.0000, 0.1705, 0.5000) and N at (0.2274, 0.0000, 0.0304).

As for the formation energy without anion corrections: -7.1 eV/f.u.

=====

6.
The following is a DFT calculation (PBE) of an optimized crystal structure of La4Ge2N.

The structure belongs to space group Cmce (No. 64); the cell edges are 6.8670, 15.8052 and 7.1604 Å and the angles 90.00°, 90.00° and 90.00°. Symmetry generates all atoms from La at (0.0000, 0.1739, 0.0513), La at (0.2500, 0.0174, 0.7500), Ge at (0.0000, 0.1350, 0.4734) and N at (0.0000, 0.0000, 0.0000).

As for the formation energy without anion corrections: -6.3 eV/f.u. The calculation puts the energy relative to the lowest polymorph listed for this composition at 0 meV per atom.

=====

7.
The following is a DFT calculation (PBE) of an optimized crystal structure of La2GeN3.

The structure belongs to space group Immm (No. 71); the cell edges are 3.6545, 4.0148 and 12.6799 Å and the angles 90.00°, 90.00° and 90.00°. Symmetry generates all atoms from La at (0.0000, 0.0000, 0.1463), Ge at (0.0000, 0.0000, 0.5000), N at (0.0000, 0.0000, 0.3414) and N at (0.0000, 0.5000, 0.5000).

As for the formation energy without anion corrections: -5.3 eV/f.u. The calculation puts the energy relative to the lowest polymorph listed for this composition at 0 meV per atom.

=====

8.
The following is a DFT calculation (PBE) of an optimized crystal structure of LaGe3N.

The structure belongs to space group Pm-3m (No. 221); the cell edges are 4.5642, 4.5642 and 4.5642 Å and the angles 90.00°, 90.00° and 90.00°. Symmetry generates all atoms from La at (0.0000, 0.0000, 0.0000), Ge at (0.0000, 0.5000, 0.5000) and N at (0.5000, 0.5000, 0.5000).

As for the formation energy without anion corrections: 0.8 eV/f.u. The calculation puts the energy relative to the lowest polymorph listed for this composition at 0 meV per atom.

=====

9.
The following is a DFT calculation (PBE) of an optimized crystal structure of NaLa2GeN.

The structure belongs to space group P4/mmm (No. 123); the cell edges are 5.0222, 5.0222 and 4.6662 Å and the angles 90.00°, 90.00° and 90.00°. Symmetry generates all atoms from Na at (0.0000, 0.0000, 0.0000), La at (0.0000, 0.5000, 0.5000), Ge at (0.5000, 0.5000, 0.0000) and N at (0.0000, 0.0000, 0.5000).

As for the formation energy without anion corrections: -3.8 eV/f.u.

=====

10.
The following is a DFT calculation (PBE) of an optimized crystal structure of NaLaGeN2.

The structure belongs to space group P4/mmm (No. 123); the cell edges are 4.4787, 4.4787 and 6.0282 Å and the angles 90.00°, 90.00° and 90.00°. Symmetry generates all atoms from Na at (0.0000, 0.0000, 0.0000), La at (0.5000, 0.5000, 0.5000), Ge at (0.5000, 0.5000, 0.0000) and N at (0.0000, 0.5000, 0.5000).

As for the formation energy without anion corrections: 4.5 eV/f.u.